Material: MnVO2F
Method: DFT, GGA+U
State: relaxed

- Calculated density: 4.4 g/cm3
- Crystal system: tetragonal
- Space-group type: P4/mmm, No. 123
- Total energy: -32.4 eV for the cell shown

Structure (POSCAR):
```
MnVO2F
1.0
3.8764 0.0000 0.0000
0.0000 3.8764 0.0000
0.0000 0.0000 3.9113
Mn V O F
1 1 2 1
direct
0.0000 0.0000 0.0000
0.5000 0.5000 0.5000
0.0000 0.5000 0.0000
0.5000 0.0000 0.0000
0.0000 0.0000 0.5000
```